(1)
An optimized crystal structure of Pm5AlSi6. Source: the Alexandria database, functional GGA-PBE.

Properties
Crystal system: monoclinic
SG: No. 12
Formation energy (no corrections), eV/atom: -0.39
M_tot, μB/cell: 0.00

```
Pm5AlSi6
1.0
-3.126 4.000 -1.434
-5.679 2.166 5.620
1.761 5.705 5.677
Pm Al Si
5 1 6
Direct
0.500 0.138 0.724
0.000 0.319 0.363
0.500 0.500 0.000
0.000 0.681 0.637
0.500 0.862 0.276
0.000 0.000 0.000
0.821 0.084 0.282
0.179 0.634 0.282
0.134 0.267 0.000
0.866 0.733 0.000
0.821 0.366 0.718
0.179 0.916 0.718
```

***

(2)
An optimized crystal structure of Ba3Tb2UN6. Source: the Alexandria database, functional GGA-PBE.

Properties
Crystal system: monoclinic
SG: No. 12
Formation energy (no corrections), eV/atom: -1.09
M_tot, μB/cell: 0.00

```
Ba3Tb2UN6
1.0
6.262 0.013 0.009
-3.119 5.431 0.009
-1.039 -1.800 6.386
Ba Tb U N
3 2 1 6
Direct
0.171 0.829 0.500
0.829 0.171 0.500
0.500 0.500 0.500
0.334 0.666 0.000
0.666 0.334 0.000
0.000 0.000 0.000
0.938 0.637 0.815
0.757 0.757 0.200
0.062 0.363 0.185
0.637 0.938 0.815
0.243 0.243 0.800
0.363 0.062 0.185
```

***

(3)
An optimized crystal structure of NiHg5. Source: the Alexandria database, functional GGA-PBE.

Properties
Crystal system: cubic
SG: No. 216
Formation energy, meV per atom: 532
M_tot, μB/cell: 0.30

```
NiHg5
1.0
0.000 4.187 4.187
4.187 0.000 4.187
4.187 4.187 0.000
Ni Hg
1 5
Direct
0.000 0.000 0.000
0.626 0.626 0.123
0.250 0.250 0.250
0.626 0.626 0.626
0.123 0.626 0.626
0.626 0.123 0.626
```

***

(4)
An optimized crystal structure of MgTlP2. Source: the Alexandria database, functional GGA-PBE.

Properties
Crystal system: orthorhombic
SG: No. 65
Formation energy, meV per atom: 255
M_tot, μB/cell: 0.00

```
MgTlP2
1.0
-0.378 4.641 0.882
0.536 -2.155 4.186
3.734 0.360 -0.293
Mg P Tl
1 2 1
Direct
0.000 0.500 0.500
0.000 0.000 0.000
0.500 0.500 0.000
0.500 0.000 0.500
```

***

(5)
An optimized crystal structure of CrFeTcMo. Source: the Alexandria database, functional GGA-PBE.

Properties
Crystal system: cubic
SG: No. 216
Formation energy, meV per atom: 124
M_tot, μB/cell: 2.68

```
CrFeTcMo
1.0
4.240 0.000 0.000
2.120 3.672 0.000
2.120 1.224 3.462
Cr Mo Tc Fe
1 1 1 1
Direct
0.750 0.750 0.750
0.000 0.000 0.000
0.500 0.500 0.500
0.250 0.250 0.250
```

***

(6)
An optimized crystal structure of MgAlW2. Source: the Alexandria database, functional GGA-PBE.

Properties
Crystal system: tetragonal
SG: No. 119
Formation energy, meV per atom: 164
M_tot, μB/cell: 0.00

```
MgAlW2
1.0
-0.112 -4.439 0.676
1.606 0.615 4.149
-3.720 2.156 -1.299
Al Mg W
1 1 2
Direct
0.500 0.500 0.000
0.250 0.750 0.500
0.000 0.000 0.000
0.750 0.250 0.500
```

***

(7)
An optimized crystal structure of RbTeP2S8. Source: the Alexandria database, functional GGA-PBE.

Properties
Crystal system: trigonal
SG: No. 148
Formation energy (no corrections), eV/atom: -0.20
M_tot, μB/cell: 0.00

```
RbTeP2S8
1.0
-1.457 5.249 -2.658
-5.817 1.381 -0.994
-2.919 6.694 7.907
Rb Te P S
1 1 2 8
Direct
0.500 0.500 0.500
0.000 0.000 0.000
0.260 0.260 0.219
0.740 0.740 0.781
0.195 0.195 0.415
0.598 0.300 0.161
0.805 0.805 0.585
0.941 0.598 0.161
0.059 0.402 0.839
0.300 0.941 0.161
0.700 0.059 0.839
0.402 0.700 0.839
```

***

(8)
An optimized crystal structure of NdSc2Mo. Source: the Alexandria database, functional GGA-PBE.

Properties
Crystal system: tetragonal
SG: No. 123
Formation energy, meV per atom: 147
M_tot, μB/cell: 0.00

```
NdSc2Mo
1.0
3.358 0.000 0.000
0.000 3.358 0.000
0.000 0.000 8.496
Sc Mo Nd
2 1 1
Direct
0.000 0.000 0.813
0.000 0.000 0.187
0.500 0.500 0.000
0.500 0.500 0.500
```

***

(9)
An optimized crystal structure of Sc2AlPd. Source: the Alexandria database, functional GGA-PBE.

Properties
Crystal system: tetragonal
SG: No. 122
Formation energy, meV per atom: -227
M_tot, μB/cell: 0.00

```
Sc2AlPd
1.0
7.560 0.000 0.000
0.000 7.560 0.000
3.780 3.780 2.884
Sc Al Pd
4 2 2
Direct
0.660 0.125 0.250
0.090 0.625 0.250
0.375 0.340 0.750
0.875 0.910 0.750
0.500 0.500 0.000
0.250 0.750 0.500
0.000 0.000 0.000
0.750 0.250 0.500
```

***

(10)
An optimized crystal structure of MgCu12Au6. Source: the Alexandria database, functional GGA-PBE.

Properties
Crystal system: trigonal
SG: No. 148
Formation energy, meV per atom: 0
M_tot, μB/cell: 0.00

```
MgCu12Au6
1.0
-4.657 5.196 -0.710
-2.755 -5.674 -3.067
0.503 -1.398 6.854
Mg Cu Au
1 12 6
Direct
0.000 0.000 0.000
0.481 0.186 0.590
0.186 0.590 0.481
0.590 0.481 0.186
0.519 0.814 0.410
0.814 0.410 0.519
0.410 0.519 0.814
0.288 0.151 0.836
0.164 0.712 0.849
0.849 0.164 0.712
0.712 0.849 0.164
0.836 0.288 0.151
0.151 0.836 0.288
0.081 0.193 0.458
0.807 0.542 0.919
0.542 0.919 0.807
0.919 0.807 0.542
0.193 0.458 0.081
0.458 0.081 0.193
```

***

(11)
An optimized crystal structure of CoCu2Mo. Source: the Alexandria database, functional GGA-PBE.

Properties
Crystal system: monoclinic
SG: No. 8
Formation energy, meV per atom: 223
M_tot, μB/cell: 0.04

```
CoCu2Mo
1.0
4.458 -0.033 0.072
3.697 2.491 0.072
0.761 0.229 4.519
Co Cu Mo
1 2 1
Direct
0.744 0.744 0.728
0.005 0.005 0.019
0.255 0.255 0.225
0.496 0.496 0.528
```

***

(12)
An optimized crystal structure of Na2Hg6Sb. Source: the Alexandria database, functional GGA-PBE.

Properties
Crystal system: monoclinic
SG: No. 12
Formation energy (no corrections), eV/atom: -0.11
M_tot, μB/cell: 0.00

```
Na2Hg6Sb
1.0
8.367 0.784 1.580
-0.149 5.733 -2.057
3.998 -0.863 6.330
Na Hg Sb
2 6 1
Direct
0.238 0.302 0.603
0.762 0.698 0.397
0.786 0.155 0.821
0.594 0.312 0.625
0.786 0.666 0.821
0.214 0.845 0.179
0.406 0.688 0.375
0.214 0.334 0.179
0.000 0.000 0.000
```

***

(13)
An optimized crystal structure of UTeH. Source: the Alexandria database, functional GGA-PBE.

Properties
VASP energy, eV/cell: -35.38
Crystal system: tetragonal
SG: No. 139
M_tot, μB/cell: 1.62

```
UTeH
1.0
-1.464 -1.040 2.623
2.821 -0.569 1.350
-0.581 11.250 2.210
H Te U
2 2 2
Direct
0.544 0.544 0.089
0.456 0.456 0.911
0.333 0.333 0.666
0.667 0.667 0.334
0.056 0.056 0.111
0.944 0.944 0.889
```

***

(14)
An optimized crystal structure of KCrMo2. Source: the Alexandria database, functional GGA-PBE.

Properties
Crystal system: monoclinic
SG: No. 10
Formation energy, meV per atom: 881
M_tot, μB/cell: 0.00

```
KCrMo2
1.0
3.760 0.000 0.000
0.000 2.904 0.096
0.000 1.506 8.155
Cr K Mo
1 1 2
Direct
0.500 0.250 0.250
0.500 0.750 0.750
0.000 0.954 0.110
0.000 0.546 0.390
```

***

(15)
An optimized crystal structure of Pm3Sm2Hg2. Source: the Alexandria database, functional GGA-PBE.

Properties
Crystal system: monoclinic
SG: No. 12
Formation energy, meV per atom: -233
M_tot, μB/cell: 0.00

```
Pm3Sm2Hg2
1.0
-0.635 -0.264 -3.771
-0.638 -6.482 2.509
-7.827 5.269 0.950
Pm Sm Hg
3 2 2
Direct
0.500 0.000 0.000
0.609 0.217 0.443
0.391 0.783 0.557
0.856 0.712 0.190
0.144 0.288 0.810
0.823 0.645 0.776
0.177 0.355 0.224
```

***

(16)
An optimized crystal structure of CaDy5S6. Source: the Alexandria database, functional GGA-PBE.

Properties
Crystal system: monoclinic
SG: No. 12
Formation energy (no corrections), eV/atom: -2.01
M_tot, μB/cell: 0.00

```
CaDy5S6
1.0
-0.676 3.392 5.849
-4.480 -3.194 3.951
2.109 -4.786 4.328
Ca S Dy
1 6 5
Direct
0.000 0.000 0.000
0.748 0.084 0.334
0.252 0.582 0.334
0.249 0.251 0.000
0.751 0.749 0.000
0.748 0.418 0.666
0.252 0.916 0.666
0.500 0.166 0.669
0.000 0.333 0.335
0.500 0.500 0.000
0.000 0.667 0.665
0.500 0.834 0.331
```

***

(17)
An optimized crystal structure of Mo4As. Source: the Alexandria database, functional GGA-PBE.

Properties
Crystal system: tetragonal
SG: No. 139
Formation energy, meV per atom: 770
M_tot, μB/cell: 0.00

```
Mo4As
1.0
-2.017 2.017 5.774
2.017 -2.017 5.774
2.017 2.017 -5.774
Mo As
4 1
Direct
0.750 0.250 0.500
0.250 0.750 0.500
0.614 0.614 0.000
0.386 0.386 0.000
0.000 0.000 0.000
```

***

(18)
An optimized crystal structure of BaTc2Ir. Source: the Alexandria database, functional GGA-PBE.

Properties
Crystal system: orthorhombic
SG: No. 47
Formation energy, meV per atom: 1193
M_tot, μB/cell: 1.04

```
BaTc2Ir
1.0
2.991 0.000 0.000
0.000 5.156 0.000
0.000 0.000 4.966
Ba Ir Tc
1 1 2
Direct
0.500 0.000 0.500
0.000 0.500 0.500
0.000 0.000 0.000
0.500 0.500 0.000
```

***

(19)
An optimized crystal structure of RbAg2Sn2. Source: the Alexandria database, functional GGA-PBE.

Properties
Crystal system: tetragonal
SG: No. 139
Formation energy, meV per atom: -20
M_tot, μB/cell: 0.00

```
RbAg2Sn2
1.0
4.931 0.000 0.000
0.000 4.931 0.000
2.466 2.466 5.994
Rb Sn Ag
1 2 2
Direct
0.000 0.000 0.000
0.750 0.250 0.500
0.250 0.750 0.500
0.375 0.375 0.250
0.625 0.625 0.750
```

***

(20)
An optimized crystal structure of Sm4Bi8Pd3. Source: the Alexandria database, functional GGA-PBE.

Properties
Crystal system: tetragonal
SG: No. 115
Formation energy, meV per atom: -650
M_tot, μB/cell: 0.00

```
Sm4Bi8Pd3
1.0
-0.758 4.582 -0.193
-2.931 -0.634 -3.552
-14.584 -1.889 12.370
Sm Bi Pd
4 8 3
Direct
0.500 0.000 0.384
0.500 0.000 0.889
0.000 0.500 0.111
0.000 0.500 0.616
0.500 0.000 0.078
0.500 0.000 0.585
0.000 0.500 0.415
0.000 0.500 0.922
0.500 0.500 0.248
0.500 0.500 0.752
0.000 0.000 0.248
0.000 0.000 0.752
0.500 0.500 0.500
0.000 0.000 0.000
0.000 0.000 0.500
```

***

(21)
An optimized crystal structure of MgMnI2N. Source: the Alexandria database, functional GGA-PBE.

Properties
Crystal system: tetragonal
SG: No. 123
Formation energy (no corrections), eV/atom: 0.10
M_tot, μB/cell: 1.81

```
MgMnI2N
1.0
5.565 0.000 0.000
0.000 5.565 0.000
0.000 0.000 3.606
I Mg Mn N
2 1 1 1
Direct
0.000 0.500 0.000
0.500 0.000 0.000
0.500 0.500 0.500
0.000 0.000 0.000
0.000 0.000 0.500
```

***

(22)
An optimized crystal structure of In2AgTeO6. Source: the Alexandria database, functional GGA-PBE.

Properties
Crystal system: trigonal
SG: No. 146
Formation energy (no corrections), eV/atom: -1.07
M_tot, μB/cell: 0.00

```
In2AgTeO6
1.0
-4.599 2.922 -1.576
-1.968 -0.449 -5.301
-5.111 -3.017 -0.878
In Ag Te O
2 1 1 6
Direct
0.528 0.528 0.416
0.012 0.012 0.964
0.790 0.790 0.629
0.322 0.322 0.033
0.595 0.246 0.225
0.246 0.935 0.224
0.935 0.595 0.225
0.370 0.701 0.766
0.701 0.163 0.766
0.163 0.370 0.766
```

***

(23)
An optimized crystal structure of SmSnRh. Source: the Alexandria database, functional GGA-PBE.

Properties
Crystal system: monoclinic
SG: No. 11
Formation energy, meV per atom: -836
M_tot, μB/cell: 0.00

```
SmSnRh
1.0
-0.560 0.388 4.297
3.884 -6.242 1.070
10.575 6.446 0.795
Sm Sn Rh
6 6 6
Direct
0.750 0.532 0.376
0.250 0.961 0.709
0.750 0.039 0.291
0.750 0.650 0.081
0.250 0.468 0.624
0.250 0.350 0.919
0.250 0.991 0.089
0.250 0.845 0.455
0.750 0.630 0.793
0.750 0.155 0.545
0.250 0.370 0.207
0.750 0.009 0.911
0.250 0.765 0.910
0.750 0.265 0.755
0.750 0.767 0.577
0.750 0.235 0.090
0.250 0.233 0.423
0.250 0.735 0.245
```

***

(24)
An optimized crystal structure of CoTc2Ru. Source: the Alexandria database, functional GGA-PBE.

Properties
Crystal system: monoclinic
SG: No. 8
Formation energy, meV per atom: 99
M_tot, μB/cell: 0.00

```
CoTc2Ru
1.0
4.591 0.002 -0.002
3.811 2.561 -0.002
0.739 0.226 4.587
Co Ru Tc
1 1 2
Direct
0.502 0.502 0.487
0.752 0.752 0.750
0.002 0.002 0.992
0.244 0.244 0.271
```